(1)
Density functional theory data (PBE) for an optimized crystal structure of BaZn2P2O8.

a = 8.707 Å, b = 9.913 Å, c = 9.272 Å
α = 90.00°, β = 91.58°, γ = 90.00°
Fractional coordinates of all 52 atoms:
Ba1 0.245 0.083 0.105
Ba2 0.245 0.417 0.605
Ba3 0.755 0.583 0.395
Ba4 0.755 0.917 0.895
Zn1 0.083 0.681 0.059
Zn2 0.083 0.819 0.559
Zn3 0.427 0.075 0.708
Zn4 0.427 0.425 0.208
Zn5 0.573 0.575 0.792
Zn6 0.573 0.925 0.292
Zn7 0.917 0.181 0.441
Zn8 0.917 0.319 0.941
P1 0.060 0.088 0.742
P2 0.060 0.412 0.242
P3 0.451 0.704 0.074
P4 0.451 0.796 0.574
P5 0.549 0.204 0.426
P6 0.549 0.296 0.926
P7 0.940 0.588 0.758
P8 0.940 0.912 0.258
O1 0.006 0.051 0.306
O2 0.006 0.449 0.806
O3 0.042 0.633 0.630
O4 0.042 0.867 0.130
O5 0.055 0.191 0.616
O6 0.055 0.309 0.116
O7 0.227 0.079 0.805
O8 0.227 0.421 0.305
O9 0.295 0.654 0.011
O10 0.295 0.846 0.511
O11 0.426 0.199 0.545
O12 0.426 0.301 0.045
O13 0.442 0.647 0.628
O14 0.442 0.853 0.128
O15 0.492 0.109 0.300
O16 0.492 0.391 0.800
O17 0.508 0.609 0.200
O18 0.508 0.891 0.700
O19 0.558 0.147 0.872
O20 0.558 0.353 0.372
O21 0.574 0.699 0.955
O22 0.574 0.801 0.455
O23 0.705 0.154 0.489
O24 0.705 0.346 0.989
O25 0.773 0.579 0.695
O26 0.773 0.921 0.195
O27 0.945 0.691 0.884
O28 0.945 0.809 0.384
O29 0.958 0.133 0.870
O30 0.958 0.367 0.370
O31 0.994 0.551 0.194
O32 0.994 0.949 0.694



(2)
Density functional theory data (PBE) for an optimized crystal structure of BaZnPO2.

Calculated values
polymorph energy (0 for the lowest one): 0.877 eV per atom

a = 4.421 Å, b = 4.421 Å, c = 7.099 Å
α = 90.00°, β = 90.00°, γ = 90.00°
Fractional coordinates of all 5 atoms:
Ba1 0.000 0.000 0.000
Zn1 0.500 0.500 0.500
P1 0.000 0.000 0.500
O1 0.000 0.500 0.000
O2 0.500 0.000 0.000



(3)
Density functional theory data (PBE) for an optimized crystal structure of BaZnP2O6.

a = 7.023 Å, b = 7.023 Å, c = 7.023 Å
α = 44.22°, β = 44.22°, γ = 44.22°
Fractional coordinates of all 10 atoms:
Ba1 0.000 0.000 0.000
Zn1 0.500 0.500 0.500
P1 0.250 0.250 0.250
P2 0.750 0.750 0.750
O1 0.073 0.724 0.507
O2 0.276 0.493 0.927
O3 0.493 0.927 0.276
O4 0.507 0.073 0.724
O5 0.724 0.507 0.073
O6 0.927 0.276 0.493



(4)
Density functional theory data (PBE) for an optimized crystal structure of Ba2ZnPO.

Calculated values
polymorph energy (0 for the lowest one): 0.000 eV per atom

a = 6.949 Å, b = 4.097 Å, c = 9.334 Å
α = 90.00°, β = 109.63°, γ = 90.00°
Fractional coordinates of all 10 atoms:
Ba1 0.195 0.250 0.384
Ba2 0.220 0.250 0.970
Ba3 0.780 0.750 0.030
Ba4 0.805 0.750 0.616
Zn1 0.487 0.750 0.262
Zn2 0.513 0.250 0.738
P1 0.331 0.750 0.710
P2 0.669 0.250 0.290
O1 0.180 0.750 0.166
O2 0.820 0.250 0.834



(5)
Density functional theory data (PBE) for an optimized crystal structure of BaZrP2O8.

a = 5.265 Å, b = 5.265 Å, c = 7.750 Å
α = 90.00°, β = 90.00°, γ = 120.00°
Fractional coordinates of all 12 atoms:
Ba1 0.000 0.000 0.000
Zr1 0.000 0.000 0.500
P1 0.333 0.667 0.740
P2 0.667 0.333 0.260
O1 0.125 0.353 0.669
O2 0.228 0.875 0.669
O3 0.333 0.667 0.936
O4 0.353 0.228 0.331
O5 0.647 0.772 0.669
O6 0.667 0.333 0.064
O7 0.772 0.125 0.331
O8 0.875 0.647 0.331



(6)
Density functional theory data (PBE) for an optimized crystal structure of BaZrPO2.

Calculated values
polymorph energy (0 for the lowest one): 0.000 eV per atom

a = 4.296 Å, b = 4.296 Å, c = 5.275 Å
α = 90.00°, β = 90.00°, γ = 90.00°
Fractional coordinates of all 5 atoms:
Ba1 0.000 0.000 0.000
Zr1 0.500 0.500 0.500
P1 0.500 0.500 0.000
O1 0.000 0.500 0.500
O2 0.500 0.000 0.500



(7)
Density functional theory data (PBE) for an optimized crystal structure of BaZrPO2.

Calculated values
polymorph energy (0 for the lowest one): 1.945 eV per atom

a = 4.283 Å, b = 4.283 Å, c = 6.487 Å
α = 90.00°, β = 90.00°, γ = 90.00°
Fractional coordinates of all 5 atoms:
Ba1 0.000 0.000 0.000
Zr1 0.500 0.500 0.500
P1 0.000 0.000 0.500
O1 0.000 0.500 0.000
O2 0.500 0.000 0.000



(8)
Density functional theory data (PBE) for an optimized crystal structure of BaPa2O6.

Calculated values
polymorph energy (0 for the lowest one): 0.000 eV per atom

a = 6.268 Å, b = 6.268 Å, c = 8.139 Å
α = 118.93°, β = 118.93°, γ = 40.86°
Fractional coordinates of all 9 atoms:
Ba1 0.000 0.000 0.000
Pa1 0.174 0.174 0.601
Pa2 0.826 0.826 0.399
O1 0.010 0.010 0.667
O2 0.284 0.284 0.429
O3 0.333 0.333 0.863
O4 0.667 0.667 0.137
O5 0.716 0.716 0.571
O6 0.990 0.990 0.333



DFT total energy (eV/atom)
-6.524 -3.470 -6.298 -4.415 -7.894 -7.179 -5.234 -9.098